! Tm2Te, optimized geometry, DFT GGA-PBE; values from VASP
&SYSTEM
  ibrav = 0, nat = 6, ntyp = 2
/
ATOMIC_SPECIES
Tm 168.93 Tm.upf
Te 127.60 Te.upf
CELL_PARAMETERS angstrom
4.7276 2.7295 7.7338
-4.7276 2.7295 7.7338
0.0000 -5.4589 7.7338
ATOMIC_POSITIONS angstrom
Tm 0.0000 0.0000 0.0000
Tm -4.7276 0.0000 11.6007
Tm -2.3638 1.3647 3.8669
Tm 2.3638 1.3647 3.8669
Te 0.0000 0.0000 2.8983
Te 0.0000 0.0000 20.3031
! - SG = No. 166
! - electronic total energy (eV per atom) = -2.80
! - crystal system = trigonal
! - theoretical density (g/cm3) = 2.6